Record 1
Entry from Alexandria: an optimized crystal structure of NaAsPt3 (PBE-GGA).

Calculated formation energy (kJ/mol of atoms): 138
Size of the total moment (μB per atom): 0.000
VASP energy (eV/atom): -3.3840

Cell lengths 4.632, 4.632, 4.632 Å; angles 90.00, 90.00, 90.00 degrees
Space group Pm-3m (No. 221)
Unique sites:
1 Na 0.000 0.000 0.000 (multiplicity 1)
2 As 0.500 0.500 0.500 (multiplicity 1)
3 Pt 0.000 0.000 0.500 (multiplicity 3)


Record 2
Entry from Alexandria: an optimized crystal structure of Na5As2Pt (PBE-GGA).

Calculated formation energy (kJ/mol of atoms): -43
Size of the total moment (μB per atom): 0.000
VASP energy (eV/atom): -3.1914

Cell lengths 5.0501, 5.0501, 17.9502 Å; angles 90.00, 90.00, 120.00 degrees
Space group P6_3/mmc (No. 194)
Unique sites:
1 Na 0.0000 0.0000 0.1549 (multiplicity 4)
2 Na 0.3333 0.6667 0.0510 (multiplicity 4)
3 Na 0.3333 0.6667 0.2500 (multiplicity 2)
4 As 0.3333 0.6667 0.6160 (multiplicity 4)
5 Pt 0.3333 0.6667 0.7500 (multiplicity 2)


Record 3
Entry from Alexandria: an optimized crystal structure of NaAs2Pt (PBE-GGA).

Calculated formation energy (kJ/mol of atoms): -22
Size of the total moment (μB per atom): 0.000
VASP energy (eV/atom): -4.3963

Cell lengths 7.709, 7.709, 5.646 Å; angles 90.00, 90.00, 90.00 degrees
Space group I-42d (No. 122)
Unique sites:
1 Na 0.000 0.000 0.000 (multiplicity 4)
2 As 0.184 0.250 0.625 (multiplicity 8)
3 Pt 0.000 0.000 0.500 (multiplicity 4)


Record 4
Entry from Alexandria: an optimized crystal structure of NaAs3Pt (PBE-GGA).

Calculated formation energy (kJ/mol of atoms): 28
Size of the total moment (μB per atom): 0.000
VASP energy (eV/atom): -3.9747

Cell lengths 5.023, 5.023, 5.023 Å; angles 90.00, 90.00, 90.00 degrees
Space group Pm-3m (No. 221)
Unique sites:
1 Na 0.000 0.000 0.000 (multiplicity 1)
2 As 0.000 0.500 0.500 (multiplicity 3)
3 Pt 0.500 0.500 0.500 (multiplicity 1)


Record 5
Entry from Alexandria: an optimized crystal structure of Na3As2Pt (PBE-GGA).

Calculated formation energy (kJ/mol of atoms): -39
Size of the total moment (μB per atom): 0.000
VASP energy (eV/atom): -3.6229

Cell lengths 8.396, 9.928, 7.238 Å; angles 90.00, 97.08, 90.00 degrees
Space group P2_1/c (No. 14)
Unique sites:
1 Na 0.050 0.149 0.489 (multiplicity 4)
2 Na 0.316 0.109 0.978 (multiplicity 4)
3 Na 0.352 0.702 0.174 (multiplicity 4)
4 As 0.041 0.578 0.635 (multiplicity 4)
5 As 0.424 0.093 0.606 (multiplicity 4)
6 Pt 0.285 0.527 0.827 (multiplicity 4)


Record 6
Entry from Alexandria: an optimized crystal structure of Na3As2Pt (PBE-GGA).

Calculated formation energy (kJ/mol of atoms): -36
Size of the total moment (μB per atom): 0.000
VASP energy (eV/atom): -3.5854

Cell lengths 8.655, 9.676, 6.683 Å; angles 90.00, 90.00, 90.00 degrees
Space group Cmcm (No. 63)
Unique sites:
1 Na 0.000 0.110 0.250 (multiplicity 4)
2 Na 0.188 0.241 0.750 (multiplicity 8)
3 As 0.216 0.500 0.000 (multiplicity 8)
4 Pt 0.000 0.474 0.250 (multiplicity 4)


Question: Which of these has the highest calculated formation energy?
Answer: NaAsPt3